Record 1
## NpNb2Pt (PBE)

Data for a relaxed structure of NpNb2Pt.

```
NpNb2Pt
1.0
3.400 0.000 0.000
0.000 3.400 0.000
0.000 0.000 6.318
Np Nb Pt
1 2 1
Direct
0.000 0.000 0.000
0.500 0.500 0.250
0.500 0.500 0.750
0.000 0.000 0.500
```

Record 2
## NpNb2Pt (PBE)

Data for a relaxed structure of NpNb2Pt.

```
NpNb2Pt
1.0
4.933 0.000 0.000
0.000 4.933 0.000
0.000 0.000 2.963
Np Nb Pt
1 2 1
Direct
0.000 0.000 0.000
0.000 0.500 0.500
0.500 0.000 0.500
0.500 0.500 0.000
```

| no. | energy above the most stable polymorph in this dataset (meV/atom) | ΔH_f (0 K) (meV per atom) | total energy (eV/cell) |
| --- | --- | --- | --- |
| 1 | 112 | 12 | -39.07 |
| 2 | 0 | -100 | -39.52 |